Arrangement A

Material: Sm2Dy3Ho
Method: DFT, PBE
State: optimized geometry

a = 5.6477 Å, b = 8.9607 Å, c = 8.9607 Å
α = 113.03°, β = 90.00°, γ = 90.00°
Sites, in units of the cell vectors:
Sm  0.4930  0.7108  0.4946
Sm  0.9930  0.5054  0.2892
Sm  0.4930  0.4946  0.7108
Sm  0.9930  0.2892  0.5054
Dy  0.9926  0.8859  0.3679
Dy  0.4926  0.6321  0.1141
Dy  0.9926  0.3679  0.8859
Dy  0.4926  0.1141  0.6321
Dy  0.4935  0.9121  0.9121
Dy  0.9935  0.0879  0.0879
Ho  0.9932  0.7325  0.7325
Ho  0.4932  0.2675  0.2675

Calculated values
DOS at the Fermi energy   1.439 states/eV/atom
Total magnetization   0.00 μB per formula unit

***

Arrangement B

Material: Sm2Dy3Ho
Method: DFT, PBE
State: optimized geometry

a = 5.9869 Å, b = 12.2637 Å, c = 12.2637 Å
α = 46.44°, β = 42.90°, γ = 42.90°
Sites, in units of the cell vectors:
Sm  0.6519  0.5844  0.1489
Sm  0.8481  0.8511  0.4156
Sm  0.1519  0.1489  0.5844
Sm  0.3481  0.4156  0.8511
Dy  0.7500  0.6088  0.3912
Dy  0.2500  0.3912  0.6088
Dy  0.9406  0.8518  0.6844
Dy  0.5594  0.3156  0.1482
Dy  0.0594  0.1482  0.3156
Dy  0.4406  0.6844  0.8518
Ho  0.5000  0.0000  0.0000
Ho  0.0000  0.0000  0.0000

Calculated values
DOS at the Fermi energy   1.700 states/eV/atom
Total magnetization   0.00 μB per formula unit

***

Of them, arrangement A has the lowest stability.

***

Arrangement A

Material: SmDy12Ho6
Method: DFT, PBE
State: optimized geometry

a = 9.3009 Å, b = 9.3009 Å, c = 9.3009 Å
α = 108.10°, β = 108.10°, γ = 108.10°
Sites, in units of the cell vectors:
Sm  0.0000  0.0000  0.0000
Dy  0.8899  0.1101  0.5000
Dy  0.3677  0.1526  0.3677
Dy  0.3677  0.3677  0.1526
Dy  0.8474  0.6323  0.6323
Dy  0.6323  0.6323  0.8474
Dy  0.6323  0.8474  0.6323
Dy  0.5000  0.8899  0.1101
Dy  0.1101  0.5000  0.8899
Dy  0.1101  0.8899  0.5000
Dy  0.5000  0.1101  0.8899
Dy  0.8899  0.5000  0.1101
Dy  0.1526  0.3677  0.3677
Ho  0.6833  0.2584  0.6833
Ho  0.6833  0.6833  0.2584
Ho  0.2584  0.6833  0.6833
Ho  0.3167  0.3167  0.7416
Ho  0.3167  0.7416  0.3167
Ho  0.7416  0.3167  0.3167

Calculated values
DOS at the Fermi energy   1.285 states/eV/atom
Total magnetization   0.00 μB per formula unit

***

Arrangement B

Material: SmDy12Ho6
Method: DFT, PBE
State: optimized geometry

a = 8.4969 Å, b = 8.4969 Å, c = 8.4969 Å
α = 88.45°, β = 88.45°, γ = 88.45°
Sites, in units of the cell vectors:
Sm  0.0000  0.0000  0.0000
Dy  0.7745  0.5427  0.4349
Dy  0.4349  0.7745  0.5427
Dy  0.5427  0.4349  0.7745
Dy  0.2255  0.4573  0.5651
Dy  0.5651  0.2255  0.4573
Dy  0.4573  0.5651  0.2255
Dy  0.0107  0.2070  0.3567
Dy  0.7930  0.6433  0.9893
Dy  0.6433  0.9893  0.7930
Dy  0.9893  0.7930  0.6433
Dy  0.2070  0.3567  0.0107
Dy  0.3567  0.0107  0.2070
Ho  0.7426  0.9068  0.3101
Ho  0.6899  0.2574  0.0932
Ho  0.0932  0.6899  0.2574
Ho  0.2574  0.0932  0.6899
Ho  0.3101  0.7426  0.9068
Ho  0.9068  0.3101  0.7426

Calculated values
DOS at the Fermi energy   1.723 states/eV/atom
Total magnetization   0.00 μB per formula unit

***

Of them, arrangement A has the lowest stability.

***

Arrangement A

Material: SmDy2Ho4
Method: DFT, PBE
State: optimized geometry

a = 6.0237 Å, b = 6.5741 Å, c = 11.6378 Å
α = 90.00°, β = 106.12°, γ = 90.00°
Sites, in units of the cell vectors:
Sm  0.1740  0.7500  0.1383
Sm  0.8260  0.2500  0.8617
Dy  0.6084  0.7500  0.0083
Dy  0.3916  0.2500  0.9917
Dy  0.2881  0.2500  0.4476
Dy  0.7119  0.7500  0.5524
Ho  0.6366  0.4925  0.2901
Ho  0.9824  0.7500  0.8375
Ho  0.0176  0.2500  0.1625
Ho  0.6366  0.0075  0.2901
Ho  0.8552  0.2500  0.5770
Ho  0.3634  0.9925  0.7099
Ho  0.3634  0.5075  0.7099
Ho  0.1448  0.7500  0.4230

Calculated values
DOS at the Fermi energy   1.683 states/eV/atom
Total magnetization   0.00 μB per formula unit

***

Arrangement B

Material: SmDy2Ho4
Method: DFT, PBE
State: optimized geometry

a = 3.5172 Å, b = 9.3924 Å, c = 8.4920 Å
α = 121.63°, β = 78.06°, γ = 111.98°
Sites, in units of the cell vectors:
Sm  0.0000  0.0000  0.0000
Dy  0.3598  0.4298  0.1403
Dy  0.6402  0.5702  0.8597
Ho  0.4105  0.7060  0.5898
Ho  0.8074  0.1647  0.7153
Ho  0.5895  0.2940  0.4102
Ho  0.1926  0.8353  0.2847

Calculated values
DOS at the Fermi energy   1.503 states/eV/atom
Total magnetization   0.00 μB per formula unit

***

Of them, arrangement A has the lowest stability.

***

Arrangement A

Material: Sm2Dy3Ho6
Method: DFT, PBE
State: optimized geometry

a = 6.0882 Å, b = 6.0956 Å, c = 11.6362 Å
α = 84.94°, β = 79.83°, γ = 60.04°
Sites, in units of the cell vectors:
Sm  0.1665  0.6670  0.5000
Sm  0.8335  0.3330  0.5000
Dy  0.0000  0.0000  0.0000
Dy  0.3350  0.3301  0.0000
Dy  0.6650  0.6699  0.0000
Ho  0.4163  0.6665  0.7517
Ho  0.7499  0.0000  0.7516
Ho  0.0828  0.3335  0.7517
Ho  0.2501  0.0000  0.2484
Ho  0.5837  0.3335  0.2483
Ho  0.9172  0.6665  0.2483

Calculated values
DOS at the Fermi energy   1.662 states/eV/atom
Total magnetization   0.00 μB per formula unit

***

Arrangement B

Material: Sm2Dy3Ho6
Method: DFT, PBE
State: optimized geometry

a = 4.7122 Å, b = 4.7122 Å, c = 16.8749 Å
α = 98.03°, β = 98.03°, γ = 90.00°
Sites, in units of the cell vectors:
Sm  0.4540  0.4540  0.9081
Sm  0.5460  0.5460  0.0919
Dy  0.0000  0.0000  0.0000
Dy  0.7990  0.7990  0.5981
Dy  0.2010  0.2010  0.4019
Ho  0.1217  0.6217  0.2435
Ho  0.6217  0.1217  0.2435
Ho  0.8783  0.3783  0.7565
Ho  0.3783  0.8783  0.7565
Ho  0.6957  0.6957  0.3915
Ho  0.3043  0.3043  0.6085

Calculated values
DOS at the Fermi energy   1.492 states/eV/atom
Total magnetization   0.00 μB per formula unit

***

Of them, arrangement B has the lowest stability.

***

Arrangement A

Material: Sm6Dy2Ho3
Method: DFT, PBE
State: optimized geometry

a = 4.7541 Å, b = 4.7541 Å, c = 17.0662 Å
α = 98.01°, β = 98.01°, γ = 90.00°
Sites, in units of the cell vectors:
Sm  0.1206  0.6206  0.2411
Sm  0.6206  0.1206  0.2411
Sm  0.8794  0.3794  0.7589
Sm  0.3794  0.8794  0.7589
Sm  0.6990  0.6990  0.3980
Sm  0.3010  0.3010  0.6020
Dy  0.4546  0.4546  0.9092
Dy  0.5454  0.5454  0.0908
Ho  0.0000  0.0000  0.0000
Ho  0.8016  0.8016  0.6032
Ho  0.1984  0.1984  0.3968

Calculated values
DOS at the Fermi energy   1.415 states/eV/atom
Total magnetization   0.00 μB per formula unit

***

Arrangement B

Material: Sm6Dy2Ho3
Method: DFT, PBE
State: optimized geometry

a = 3.5841 Å, b = 3.5841 Å, c = 32.1325 Å
α = 86.80°, β = 86.80°, γ = 60.00°
Sites, in units of the cell vectors:
Sm  0.9094  0.9094  0.2717
Sm  0.0906  0.0906  0.7283
Sm  0.8178  0.8178  0.5465
Sm  0.1822  0.1822  0.4535
Sm  0.6365  0.6365  0.0906
Sm  0.3635  0.3635  0.9094
Dy  0.5458  0.5458  0.3626
Dy  0.4542  0.4542  0.6374
Ho  0.0000  0.0000  0.0000
Ho  0.7270  0.7270  0.8189
Ho  0.2730  0.2730  0.1811

Calculated values
DOS at the Fermi energy   1.187 states/eV/atom
Total magnetization   0.00 μB per formula unit

***

Of them, arrangement A has the lowest stability.

***

Arrangement A

Material: Sm4Dy2Ho
Method: DFT, PBE
State: optimized geometry

a = 6.1888 Å, b = 6.6083 Å, c = 11.5921 Å
α = 90.00°, β = 104.67°, γ = 90.00°
Sites, in units of the cell vectors:
Sm  0.6499  0.5086  0.2859
Sm  0.0368  0.7500  0.8632
Sm  0.9632  0.2500  0.1368
Sm  0.6499  0.9914  0.2859
Sm  0.8497  0.2500  0.5507
Sm  0.3501  0.0086  0.7141
Sm  0.3501  0.4914  0.7141
Sm  0.1503  0.7500  0.4493
Dy  0.6073  0.7500  0.9950
Dy  0.3927  0.2500  0.0050
Dy  0.2880  0.2500  0.4238
Dy  0.7120  0.7500  0.5762
Ho  0.1513  0.7500  0.1628
Ho  0.8487  0.2500  0.8372

Calculated values
DOS at the Fermi energy   1.575 states/eV/atom
Total magnetization   0.00 μB per formula unit

***

Arrangement B

Material: Sm4Dy2Ho
Method: DFT, PBE
State: optimized geometry

a = 13.1405 Å, b = 6.5438 Å, c = 10.9006 Å
α = 90.00°, β = 90.00°, γ = 90.00°
Sites, in units of the cell vectors:
Sm  0.7500  0.7501  0.5245
Sm  0.2500  0.7499  0.4755
Sm  0.2500  0.2501  0.9755
Sm  0.7500  0.2499  0.0245
Sm  0.2500  0.2499  0.4755
Sm  0.7500  0.2501  0.5245
Sm  0.7500  0.7499  0.0245
Sm  0.2500  0.7501  0.9755
Sm  0.1639  0.0000  0.7289
Sm  0.6639  0.5000  0.2711
Sm  0.8361  0.5000  0.7711
Sm  0.3361  0.0000  0.2289
Sm  0.8361  0.0000  0.2711
Sm  0.3361  0.5000  0.7289
Sm  0.1639  0.5000  0.2289
Sm  0.6639  0.0000  0.7711
Dy  0.9285  0.0000  0.8398
Dy  0.4285  0.5000  0.1602
Dy  0.0715  0.5000  0.6602
Dy  0.5715  0.0000  0.3398
Dy  0.0715  0.0000  0.1602
Dy  0.5715  0.5000  0.8398
Dy  0.9285  0.5000  0.3398
Dy  0.4285  0.0000  0.6602
Ho  0.0000  0.0000  0.5000
Ho  0.5000  0.5000  0.5000
Ho  0.0000  0.5000  0.0000
Ho  0.5000  0.0000  0.0000

Calculated values
DOS at the Fermi energy   1.678 states/eV/atom
Total magnetization   0.00 μB per formula unit

***

Of them, arrangement B has the lowest stability.